Entry from the Alexandria database: crystalline Pm4Pb3I at its relaxed geometry (GGA-PBE).

Cell lengths 4.5964, 7.8528, 7.8528 Å; angles 70.29, 90.00, 90.00 degrees
Closest atoms and distances in Å follow each position.
Positions (direct):
Pb 0.4999 0.0001 0.5000  6 Pm 3.13-3.17
Pb 0.0000 0.0002 0.0000  6 Pm 3.21-3.22
Pb 0.0000 0.5002 0.5000  6 Pm 3.21-3.22
I 0.4999 0.5001 0.0000  6 Pm 3.25-3.32
Pm 0.9999 0.7646 0.7356  4 Pb 3.13-3.21, 2 I 3.32
Pm 0.5000 0.7534 0.2532  5 Pb 3.17-3.22, 1 I 3.25
Pm 0.9999 0.2356 0.2645  4 Pb 3.13-3.21, 2 I 3.32
Pm 0.5000 0.2469 0.7467  5 Pb 3.17-3.22, 1 I 3.25

Calculated values
The final energy comes out at -4.598 eV/atom. The calculation puts the uncorrected formation energy at -638 meV per atom. The symmetry is Cmmm, No. 65.